# 1
# Tm5BiPb

A relaxed Tm5BiPb crystal (PBE-GGA, the Alexandria database).

The structure belongs to space group C2/c (No. 15); the cell edges are 9.196, 14.569 and 6.248 Å and the angles 90.00°, 94.43° and 90.00°. The inequivalent atoms are Tm at (0.000, 0.206, 0.250), Tm at (0.185, 0.406, 0.707), Tm at (0.187, 0.171, 0.788), Bi at (0.000, 0.417, 0.250) and Pb at (0.000, 0.000, 0.000).

For the total energy, the calculation gives -126.437 eV/cell. Its crystal system is monoclinic. The calculation puts the density of states at the Fermi level at 1.083 states/eV per atom.

# 2
# Tc2BiI2

A relaxed Tc2BiI2 crystal (PBE-GGA, the Alexandria database).

The structure belongs to space group P4/mbm (No. 127); the cell edges are 7.233, 7.233 and 4.739 Å and the angles 90.00°, 90.00° and 90.00°. The inequivalent atoms are Tc at (0.109, 0.391, 0.000), Bi at (0.000, 0.000, 0.000) and I at (0.171, 0.671, 0.500).

For the total energy, the calculation gives -46.552 eV/cell. Its crystal system is tetragonal. The calculation puts the raw formation energy at 0.887 eV/atom. The calculation puts the density of states at the Fermi level at 1.630 states/eV per atom.

# 3
# VGe2Rh

A relaxed VGe2Rh crystal (PBE-GGA, the Alexandria database).

The structure belongs to space group Fm-3m (No. 225); the cell edges are 6.184, 6.184 and 6.184 Å and the angles 90.00°, 90.00° and 90.00°. The inequivalent atoms are V at (0.000, 0.000, 0.000), Ge at (0.250, 0.250, 0.250) and Rh at (0.000, 0.000, 0.500).

For the total energy, the calculation gives -106.329 eV/cell. Its crystal system is cubic. The calculation puts the density of states at the Fermi level at 0.418 states/eV per atom.

# 4
# Sc2RePdAu

A relaxed Sc2RePdAu crystal (PBE-GGA, the Alexandria database).

The structure belongs to space group P4/mmm (No. 123); the cell edges are 4.963, 4.963 and 4.946 Å and the angles 90.00°, 90.00° and 90.00°. The inequivalent atoms are Sc at (0.000, 0.500, 0.000), Re at (0.000, 0.000, 0.000), Pd at (0.500, 0.500, 0.500) and Au at (0.000, 0.000, 0.500).

For the total energy, the calculation gives -30.696 eV/cell. Its crystal system is tetragonal. The calculation puts the density of states at the Fermi level at 0.879 states/eV per atom.

# 5
# La6As2P3Se

A relaxed La6As2P3Se crystal (PBE-GGA, the Alexandria database).

The structure belongs to space group C2/m (No. 12); the cell edges are 18.812, 4.312 and 8.646 Å and the angles 90.00°, 103.40° and 90.00°. The inequivalent atoms are La at (0.002, 0.000, 0.240), La at (0.166, 0.500, 0.086), La at (0.170, 0.500, 0.581), As at (0.166, 0.000, 0.831), P at (0.000, 0.500, 0.000), P at (0.166, 0.000, 0.334) and Se at (0.000, 0.500, 0.500).

For the total energy, the calculation gives -157.694 eV/cell. Its crystal system is monoclinic. The calculation puts the raw formation energy at -1.689 eV/atom. The calculation puts the density of states at the Fermi level at 0.214 states/eV per atom.

# 6
# YMgFe2Sn

A relaxed YMgFe2Sn crystal (PBE-GGA, the Alexandria database).

The structure belongs to space group P4/mmm (No. 123); the cell edges are 4.615, 4.615 and 5.502 Å and the angles 90.00°, 90.00° and 90.00°. The inequivalent atoms are Y at (0.000, 0.000, 0.000), Mg at (0.000, 0.000, 0.500), Fe at (0.000, 0.500, 0.000) and Sn at (0.500, 0.500, 0.500).

For the total energy, the calculation gives -21.038 eV/cell. Its crystal system is tetragonal. The calculation puts the density of states at the Fermi level at 1.634 states/eV per atom.

# 7
# Ho3Zn2Pd4

A relaxed Ho3Zn2Pd4 crystal (PBE-GGA, the Alexandria database).

The structure belongs to space group C2/m (No. 12); the cell edges are 10.942, 4.250 and 8.649 Å and the angles 90.00°, 116.62° and 90.00°. The inequivalent atoms are Ho at (0.000, 0.000, 0.000), Ho at (0.142, 0.500, 0.693), Zn at (0.160, 0.500, 0.327), Pd at (0.076, 0.000, 0.409) and Pd at (0.210, 0.500, 0.068).

For the total energy, the calculation gives -87.848 eV/cell. Its crystal system is monoclinic. The calculation puts the density of states at the Fermi level at 0.603 states/eV per atom.

# 8
# ReSbTe

A relaxed ReSbTe crystal (PBE-GGA, the Alexandria database).

The structure belongs to space group I4mm (No. 107); the cell edges are 3.216, 3.216 and 13.812 Å and the angles 90.00°, 90.00° and 90.00°. The inequivalent atoms are Re at (0.000, 0.000, 0.000), Sb at (0.000, 0.000, 0.370) and Te at (0.000, 0.000, 0.617).

For the total energy, the calculation gives -37.782 eV/cell. Its crystal system is tetragonal. The calculation puts the raw formation energy at 0.274 eV/atom. The calculation puts the density of states at the Fermi level at 0.241 states/eV per atom. The value obtained for the distance to the lowest polymorph of the same formula is 0.177 eV per atom.